## P2Cl (GGA-PBE)

Data for P2Cl after structural relaxation.

## Properties
Its total magnetic moment is 0.00 μB/f.u. As for the space group: No. 10. The calculation puts the density at 2.8 Mg/m³. As for the uncorrected formation energy: 0.112 eV/atom. The calculation puts the energy above the most stable polymorph in this dataset at 0.326 eV per atom.

a = 3.408 Å, b = 2.526 Å, c = 7.021 Å
α = 90.00°, β = 103.80°, γ = 90.00°
Fractional coordinates of all 3 atoms:
P  0.696  0.000  0.890
P  0.304  0.000  0.110
Cl  0.000  0.000  0.500